1.
Entry from Alexandria: crystalline Tm2Fe5C4 at its relaxed geometry (GGA-PBE).

- ΔH_f (0 K): -2.31 eV per formula unit
- M_tot: 0.00 μB per cell
- N(E_F): 4.2 states/eV per cell
- Total DFT energy (no corrections): -90.5 eV for the cell shown

The structure in POSCAR format:
```
Tm2Fe5C4
1.0
-1.3216 0.6965 4.7177
1.4424 -3.5461 3.5230
3.6865 2.9454 3.1932
Fe Tm C
5 2 4
Direct
0.2500 0.5000 0.5000 Fe
0.7500 0.5000 0.5000 Fe
0.0000 0.5000 0.0000 Fe
0.5000 0.0000 0.0000 Fe
0.5000 0.5000 0.0000 Fe
0.8536 0.0000 0.2928 Tm
0.1464 0.0000 0.7072 Tm
0.5277 0.6812 0.2633 C
0.4723 0.3188 0.7367 C
0.2089 0.3188 0.2633 C
0.7911 0.6812 0.7367 C
```

***

2.
Entry from Alexandria: crystalline Tm2FeC4 at its relaxed geometry (GGA-PBE).

- ΔH_f (0 K): -2.24 eV per formula unit
- M_tot: 0.00 μB per cell
- N(E_F): 1.6 states/eV per cell
- Total DFT energy (no corrections): -113.1 eV for the cell shown

The structure in POSCAR format:
```
Tm2FeC4
1.0
6.4983 -0.0005 -0.0023
0.3279 6.4900 0.0023
-2.2308 -4.4884 4.1358
C Fe Tm
8 2 4
Direct
0.0886 0.4217 0.6668 C
0.2100 0.3702 0.8398 C
0.4696 0.1298 0.3398 C
0.9114 0.5783 0.3332 C
0.7549 0.9217 0.8332 C
0.5304 0.8702 0.6602 C
0.7900 0.6298 0.1602 C
0.2451 0.0783 0.1668 C
0.0000 0.2500 0.2500 Fe
0.0000 0.7500 0.7500 Fe
0.2005 0.8553 0.3451 Tm
0.5102 0.3553 0.1549 Tm
0.4898 0.6447 0.8451 Tm
0.7995 0.1447 0.6549 Tm
```

***

3.
Entry from Alexandria: crystalline TmFe12C6 at its relaxed geometry (GGA-PBE).

- ΔH_f (0 K): 0.44 eV per formula unit
- M_tot: 0.00 μB per cell
- N(E_F): 14.6 states/eV per cell
- Total DFT energy (no corrections): -160.9 eV for the cell shown

The structure in POSCAR format:
```
TmFe12C6
1.0
-3.9612 -2.9385 3.1022
-1.2048 -1.5175 -5.4950
4.9602 -2.8444 1.1202
Fe C Tm
12 6 1
Direct
0.4563 0.1867 0.4563 Fe
0.4563 0.4563 0.1867 Fe
0.8652 0.5000 0.1348 Fe
0.5437 0.5437 0.8133 Fe
0.8652 0.1348 0.5000 Fe
0.1867 0.4563 0.4563 Fe
0.1348 0.8652 0.5000 Fe
0.5000 0.1348 0.8652 Fe
0.5000 0.8652 0.1348 Fe
0.5437 0.8133 0.5437 Fe
0.1348 0.5000 0.8652 Fe
0.8133 0.5437 0.5437 Fe
0.2309 0.6702 0.2309 C
0.2309 0.2309 0.6702 C
0.6702 0.2309 0.2309 C
0.7691 0.7691 0.3298 C
0.7691 0.3298 0.7691 C
0.3298 0.7691 0.7691 C
0.0000 0.0000 0.0000 Tm
```

***

4.
Entry from Alexandria: crystalline Tm2Fe17C3 at its relaxed geometry (GGA-PBE).

- ΔH_f (0 K): -1.98 eV per formula unit
- M_tot: 69.44 μB per cell
- N(E_F): 33.8 states/eV per cell
- Total DFT energy (no corrections): -364.9 eV for the cell shown

The structure in POSCAR format:
```
Tm2Fe17C3
1.0
8.5938 0.0000 0.0000
-4.2969 7.4425 0.0000
0.0000 0.0000 8.3244
Fe Tm C
34 4 6
Direct
0.1678 0.8322 0.4795 Fe
0.5000 0.0000 0.0000 Fe
0.3333 0.6667 0.6068 Fe
0.5000 0.5000 0.5000 Fe
0.1678 0.3355 0.4795 Fe
0.9476 0.6212 0.2500 Fe
0.0524 0.3788 0.7500 Fe
0.3355 0.1678 0.5205 Fe
0.6645 0.8322 0.0205 Fe
0.6736 0.6212 0.2500 Fe
0.6667 0.3333 0.3932 Fe
0.1678 0.8322 0.0205 Fe
0.8322 0.6645 0.9795 Fe
0.6736 0.0524 0.2500 Fe
0.8322 0.1678 0.5205 Fe
0.9476 0.3264 0.2500 Fe
0.3788 0.0524 0.2500 Fe
0.0000 0.5000 0.5000 Fe
0.3788 0.3264 0.2500 Fe
0.1678 0.3355 0.0205 Fe
0.3333 0.6667 0.8932 Fe
0.6645 0.8322 0.4795 Fe
0.5000 0.0000 0.5000 Fe
0.5000 0.5000 0.0000 Fe
0.8322 0.6645 0.5205 Fe
0.0524 0.6736 0.7500 Fe
0.6212 0.6736 0.7500 Fe
0.3355 0.1678 0.9795 Fe
0.8322 0.1678 0.9795 Fe
0.6667 0.3333 0.1068 Fe
0.3264 0.9476 0.7500 Fe
0.6212 0.9476 0.7500 Fe
0.0000 0.5000 0.0000 Fe
0.3264 0.3788 0.7500 Fe
0.0000 0.0000 0.7500 Tm
0.0000 0.0000 0.2500 Tm
0.3333 0.6667 0.2500 Tm
0.6667 0.3333 0.7500 Tm
0.1654 0.8346 0.2500 C
0.1654 0.3308 0.2500 C
0.6692 0.8346 0.2500 C
0.3308 0.1654 0.7500 C
0.8346 0.1654 0.7500 C
0.8346 0.6692 0.7500 C
```

***

Q: The lowest total DFT energy (no corrections) belongs to which entry?
A: Tm2Fe17C3

***

Q: Which formula does entry 2 have?
A: Tm2FeC4